[1]
VASP calculation (PBE-GGA) on a relaxed AcLa7Mg2 crystal.

The total moment is 0.00 Bohr magnetons per cell. The formation enthalpy at 0 K comes out at 11.0 kJ/mol of atoms. The calculation puts the density of states at the Fermi level at 16.42 states/eV/f.u.

a b c (Å): 8.9585 3.5540 12.0148
angles (deg): 90.00 111.67 90.00
Space group P2/m (No. 10)
Inequivalent atoms, fractional coordinates:
Ac 0.0000 0.0000 0.0000 (multiplicity 1)
La 0.0000 0.5000 0.5000 (multiplicity 1)
La 0.1810 0.5000 0.7988 (multiplicity 2)
La 0.2323 0.5000 0.3187 (multiplicity 2)
La 0.4033 0.0000 0.6286 (multiplicity 2)
Mg 0.4014 0.5000 0.0976 (multiplicity 2)



[2]
VASP calculation (PBE-GGA) on a relaxed Ac3LaMg crystal.

The total moment is 0.00 Bohr magnetons per cell. The formation enthalpy at 0 K comes out at 2.5 kJ/mol of atoms. Its polymorph energy (0 for the lowest one) is 0.0 meV per atom. The calculation puts the density of states at the Fermi level at 7.60 states/eV/f.u.

a b c (Å): 5.4276 26.6685 5.4002
angles (deg): 90.00 90.00 90.00
Space group Cmcm (No. 63)
Inequivalent atoms, fractional coordinates:
Ac 0.0000 0.0532 0.2500 (multiplicity 4)
Ac 0.0000 0.2502 0.2500 (multiplicity 4)
Ac 0.0000 0.4460 0.2500 (multiplicity 4)
La 0.0000 0.3470 0.7500 (multiplicity 4)
Mg 0.0000 0.1539 0.7500 (multiplicity 4)



[3]
VASP calculation (PBE-GGA) on a relaxed Ac4LaMg crystal.

The total moment is 0.00 Bohr magnetons per cell. The formation enthalpy at 0 K comes out at 4.4 kJ/mol of atoms. Its polymorph energy (0 for the lowest one) is 59.5 meV per atom. The calculation puts the density of states at the Fermi level at 8.46 states/eV/f.u.

a b c (Å): 7.6251 21.3934 7.0367
angles (deg): 90.00 121.95 90.00
Space group C2/c (No. 15)
Inequivalent atoms, fractional coordinates:
Ac 0.2446 0.1303 0.2259 (multiplicity 8)
Ac 0.2488 0.0503 0.7376 (multiplicity 8)
La 0.0000 0.2814 0.2500 (multiplicity 4)
Mg 0.0000 0.2257 0.7500 (multiplicity 4)



[4]
VASP calculation (PBE-GGA) on a relaxed AcLaMg2 crystal.

The total moment is 0.00 Bohr magnetons per cell. The formation enthalpy at 0 K comes out at -9.3 kJ/mol of atoms. The calculation puts the density of states at the Fermi level at 4.23 states/eV/f.u.

a b c (Å): 5.6989 5.6989 4.0604
angles (deg): 90.00 90.00 90.00
Space group P4/mmm (No. 123)
Inequivalent atoms, fractional coordinates:
Ac 0.0000 0.0000 0.0000 (multiplicity 1)
La 0.5000 0.5000 0.0000 (multiplicity 1)
Mg 0.0000 0.5000 0.5000 (multiplicity 2)



[5]
VASP calculation (PBE-GGA) on a relaxed Ac2LaMg3 crystal.

The total moment is 0.00 Bohr magnetons per cell. The formation enthalpy at 0 K comes out at -8.8 kJ/mol of atoms. The calculation puts the density of states at the Fermi level at 7.13 states/eV/f.u.

a b c (Å): 4.0709 4.0709 12.1776
angles (deg): 90.00 90.00 90.00
Space group P4/mmm (No. 123)
Inequivalent atoms, fractional coordinates:
Ac 0.0000 0.0000 0.1720 (multiplicity 2)
La 0.0000 0.0000 0.5000 (multiplicity 1)
Mg 0.5000 0.5000 0.0000 (multiplicity 1)
Mg 0.5000 0.5000 0.3460 (multiplicity 2)



[6]
VASP calculation (PBE-GGA) on a relaxed AcLa6Mg crystal.

The total moment is 0.00 Bohr magnetons per cell. The formation enthalpy at 0 K comes out at 1.2 kJ/mol of atoms. Its polymorph energy (0 for the lowest one) is 14.7 meV per atom. The calculation puts the density of states at the Fermi level at 11.44 states/eV/f.u.

a b c (Å): 5.9860 7.4641 13.0083
angles (deg): 90.00 90.00 90.00
Space group Amm2 (No. 38)
Inequivalent atoms, fractional coordinates:
Ac 0.0000 0.0000 0.0000 (multiplicity 2)
La 0.0000 0.2431 0.7589 (multiplicity 4)
La 0.5000 0.0000 0.3381 (multiplicity 2)
La 0.5000 0.0000 0.8325 (multiplicity 2)
La 0.5000 0.2444 0.5882 (multiplicity 4)
Mg 0.0000 0.0000 0.5066 (multiplicity 2)



[7]
VASP calculation (PBE-GGA) on a relaxed Ac12La6Mg crystal.

The total moment is 0.00 Bohr magnetons per cell. The formation enthalpy at 0 K comes out at 14.4 kJ/mol of atoms. The calculation puts the density of states at the Fermi level at 29.48 states/eV/f.u.

a b c (Å): 16.7745 16.7745 9.7992
angles (deg): 90.00 90.00 120.00
Space group R-3 (No. 148, hexagonal axes)
Inequivalent atoms, fractional coordinates:
Ac 0.0334 0.8039 0.3961 (multiplicity 18)
Ac 0.0409 0.4464 0.6266 (multiplicity 18)
La 0.0070 0.8863 0.8040 (multiplicity 18)
Mg 0.0000 0.0000 0.5000 (multiplicity 3)



[8]
VASP calculation (PBE-GGA) on a relaxed Ac4La15Mg crystal.

The total moment is 0.00 Bohr magnetons per cell. The formation enthalpy at 0 K comes out at 0.6 kJ/mol of atoms. The calculation puts the density of states at the Fermi level at 33.07 states/eV/f.u.

a b c (Å): 5.3406 5.3406 26.3872
angles (deg): 90.00 90.00 90.00
Space group P4/mmm (No. 123)
Inequivalent atoms, fractional coordinates:
Ac 0.0000 0.0000 0.1014 (multiplicity 2)
Ac 0.0000 0.0000 0.3053 (multiplicity 2)
La 0.0000 0.5000 0.0000 (multiplicity 2)
La 0.0000 0.5000 0.2038 (multiplicity 4)
La 0.0000 0.5000 0.4053 (multiplicity 4)
La 0.5000 0.5000 0.1018 (multiplicity 2)
La 0.5000 0.5000 0.3064 (multiplicity 2)
La 0.5000 0.5000 0.5000 (multiplicity 1)
Mg 0.0000 0.0000 0.5000 (multiplicity 1)



[9]
VASP calculation (PBE-GGA) on a relaxed Ac4La5Mg crystal.

The total moment is 0.00 Bohr magnetons per cell. The formation enthalpy at 0 K comes out at -1.1 kJ/mol of atoms. The calculation puts the density of states at the Fermi level at 14.39 states/eV/f.u.

a b c (Å): 3.9014 3.9014 25.4312
angles (deg): 90.00 90.00 90.00
Space group P4/mmm (No. 123)
Inequivalent atoms, fractional coordinates:
Ac 0.0000 0.0000 0.1052 (multiplicity 2)
Ac 0.0000 0.0000 0.3160 (multiplicity 2)
La 0.5000 0.5000 0.0000 (multiplicity 1)
La 0.5000 0.5000 0.2103 (multiplicity 2)
La 0.5000 0.5000 0.4190 (multiplicity 2)
Mg 0.0000 0.0000 0.5000 (multiplicity 1)



[10]
VASP calculation (PBE-GGA) on a relaxed Ac2LaMg crystal.

The total moment is 0.00 Bohr magnetons per cell. The formation enthalpy at 0 K comes out at 6.2 kJ/mol of atoms. Its polymorph energy (0 for the lowest one) is 91.5 meV per atom. The calculation puts the density of states at the Fermi level at 5.56 states/eV/f.u.

a b c (Å): 3.8743 3.8743 36.0805
angles (deg): 90.00 90.00 120.00
Space group R3m (No. 160, hexagonal axes)
Inequivalent atoms, fractional coordinates:
Ac 0.0000 0.0000 0.0000 (multiplicity 3)
Ac 0.0000 0.0000 0.1765 (multiplicity 3)
La 0.0000 0.0000 0.7556 (multiplicity 3)
Mg 0.0000 0.0000 0.5882 (multiplicity 3)



[11]
VASP calculation (PBE-GGA) on a relaxed Ac4La6Mg crystal.

The total moment is 0.00 Bohr magnetons per cell. The formation enthalpy at 0 K comes out at 17.5 kJ/mol of atoms. The calculation puts the density of states at the Fermi level at 17.68 states/eV/f.u.

a b c (Å): 7.0470 7.0470 17.2880
angles (deg): 90.00 90.00 90.00
Space group I-42m (No. 121)
Inequivalent atoms, fractional coordinates:
Ac 0.1831 0.1831 0.3168 (multiplicity 8)
La 0.0000 0.5000 0.0000 (multiplicity 4)
La 0.1553 0.1553 0.1060 (multiplicity 8)
Mg 0.0000 0.0000 0.5000 (multiplicity 2)



[12]
VASP calculation (PBE-GGA) on a relaxed Ac2La3Mg2 crystal.

The total moment is 0.67 Bohr magnetons per cell. The formation enthalpy at 0 K comes out at 2.6 kJ/mol of atoms. The calculation puts the density of states at the Fermi level at 10.06 states/eV/f.u.

a b c (Å): 3.9272 33.5211 3.8973
angles (deg): 90.00 90.00 90.00
Space group Cmmm (No. 65)
Inequivalent atoms, fractional coordinates:
Ac 0.0000 0.2000 0.0000 (multiplicity 4)
La 0.0000 0.0746 0.0000 (multiplicity 4)
La 0.0000 0.5000 0.5000 (multiplicity 2)
Mg 0.0000 0.3662 0.5000 (multiplicity 4)



[13]
VASP calculation (PBE-GGA) on a relaxed AcLa4Mg crystal.

The total moment is 0.00 Bohr magnetons per cell. The formation enthalpy at 0 K comes out at 3.5 kJ/mol of atoms. Its polymorph energy (0 for the lowest one) is 63.1 meV per atom. The calculation puts the density of states at the Fermi level at 9.85 states/eV/f.u.

a b c (Å): 6.0718 7.1880 10.0101
angles (deg): 90.00 92.11 90.00
Space group P2_1/m (No. 11)
Inequivalent atoms, fractional coordinates:
Ac 0.1907 0.2500 0.0865 (multiplicity 2)
La 0.2266 0.7500 0.4202 (multiplicity 2)
La 0.2674 0.5005 0.7354 (multiplicity 4)
La 0.3224 0.7500 0.0799 (multiplicity 2)
Mg 0.2599 0.2500 0.4247 (multiplicity 2)



[14]
VASP calculation (PBE-GGA) on a relaxed AcLaMg10 crystal.

The total moment is 0.00 Bohr magnetons per cell. The formation enthalpy at 0 K comes out at -6.9 kJ/mol of atoms. The calculation puts the density of states at the Fermi level at 7.35 states/eV/f.u.

a b c (Å): 4.9838 6.1274 10.5563
angles (deg): 90.00 90.00 90.00
Space group Pmmm (No. 47)
Inequivalent atoms, fractional coordinates:
Ac 0.0000 0.0000 0.0000 (multiplicity 1)
La 0.0000 0.5000 0.5000 (multiplicity 1)
Mg 0.0000 0.0000 0.3367 (multiplicity 2)
Mg 0.0000 0.5000 0.1715 (multiplicity 2)
Mg 0.5000 0.0000 0.5000 (multiplicity 1)
Mg 0.5000 0.2520 0.2535 (multiplicity 4)
Mg 0.5000 0.5000 0.0000 (multiplicity 1)



[15]
VASP calculation (PBE-GGA) on a relaxed Ac2La7Mg2 crystal.

The total moment is 0.00 Bohr magnetons per cell. The formation enthalpy at 0 K comes out at 4.5 kJ/mol of atoms. The calculation puts the density of states at the Fermi level at 16.03 states/eV/f.u.

a b c (Å): 17.2409 12.0637 3.8847
angles (deg): 90.00 98.19 90.00
Space group C2/m (No. 12)
Inequivalent atoms, fractional coordinates:
Ac 0.1966 0.0000 0.1445 (multiplicity 4)
La 0.0000 0.0000 0.5000 (multiplicity 2)
La 0.0966 0.5000 0.2448 (multiplicity 4)
La 0.1627 0.2613 0.6577 (multiplicity 8)
Mg 0.0000 0.2461 0.0000 (multiplicity 4)



[16]
VASP calculation (PBE-GGA) on a relaxed AcLa3Mg2 crystal.

The total moment is 0.00 Bohr magnetons per cell. The formation enthalpy at 0 K comes out at -7.0 kJ/mol of atoms. The calculation puts the density of states at the Fermi level at 7.12 states/eV/f.u.

a b c (Å): 3.9354 3.9354 13.3287
angles (deg): 90.00 90.00 90.00
Space group P4/mmm (No. 123)
Inequivalent atoms, fractional coordinates:
Ac 0.0000 0.0000 0.0000 (multiplicity 1)
La 0.5000 0.5000 0.2010 (multiplicity 2)
La 0.5000 0.5000 0.5000 (multiplicity 1)
Mg 0.0000 0.0000 0.3511 (multiplicity 2)



[17]
VASP calculation (PBE-GGA) on a relaxed Ac4La5Mg2 crystal.

The total moment is 0.00 Bohr magnetons per cell. The formation enthalpy at 0 K comes out at -0.1 kJ/mol of atoms. The calculation puts the density of states at the Fermi level at 15.52 states/eV/f.u.

a b c (Å): 9.5539 22.4558 3.8779
angles (deg): 90.00 90.00 90.00
Space group Pbam (No. 55)
Inequivalent atoms, fractional coordinates:
Ac 0.0706 0.1485 0.0000 (multiplicity 4)
Ac 0.2107 0.4253 0.0000 (multiplicity 4)
La 0.0000 0.0000 0.5000 (multiplicity 2)
La 0.1309 0.5685 0.5000 (multiplicity 4)
La 0.2472 0.2800 0.5000 (multiplicity 4)
Mg 0.0451 0.6909 0.0000 (multiplicity 4)



[18]
VASP calculation (PBE-GGA) on a relaxed Ac2LaMg crystal.

The total moment is 0.00 Bohr magnetons per cell. The formation enthalpy at 0 K comes out at 7.2 kJ/mol of atoms. Its polymorph energy (0 for the lowest one) is 101.9 meV per atom. The calculation puts the density of states at the Fermi level at 5.75 states/eV/f.u.

a b c (Å): 8.4710 8.4710 8.4710
angles (deg): 90.00 90.00 90.00
Space group Fm-3m (No. 225)
Inequivalent atoms, fractional coordinates:
Ac 0.2500 0.2500 0.2500 (multiplicity 8)
La 0.0000 0.0000 0.0000 (multiplicity 4)
Mg 0.0000 0.0000 0.5000 (multiplicity 4)



[19]
VASP calculation (PBE-GGA) on a relaxed AcLa2Mg9 crystal.

The total moment is 0.00 Bohr magnetons per cell. The formation enthalpy at 0 K comes out at -9.7 kJ/mol of atoms. The calculation puts the density of states at the Fermi level at 11.70 states/eV/f.u.

a b c (Å): 6.1939 6.1939 30.2043
angles (deg): 90.00 90.00 120.00
Space group R-3m (No. 166, hexagonal axes)
Inequivalent atoms, fractional coordinates:
Ac 0.0000 0.0000 0.0000 (multiplicity 3)
La 0.0000 0.0000 0.1458 (multiplicity 6)
Mg 0.0000 0.0000 0.3341 (multiplicity 6)
Mg 0.0000 0.0000 0.5000 (multiplicity 3)
Mg 0.0027 0.5013 0.9166 (multiplicity 18)



[20]
VASP calculation (PBE-GGA) on a relaxed AcLa2Mg crystal.

The total moment is 0.00 Bohr magnetons per cell. The formation enthalpy at 0 K comes out at -4.9 kJ/mol of atoms. Its polymorph energy (0 for the lowest one) is 0.0 meV per atom. The calculation puts the density of states at the Fermi level at 5.28 states/eV/f.u.

a b c (Å): 3.9164 3.9164 9.3612
angles (deg): 90.00 90.00 90.00
Space group P4/mmm (No. 123)
Inequivalent atoms, fractional coordinates:
Ac 0.0000 0.0000 0.0000 (multiplicity 1)
La 0.5000 0.5000 0.2816 (multiplicity 2)
Mg 0.0000 0.0000 0.5000 (multiplicity 1)



[21]
VASP calculation (PBE-GGA) on a relaxed Ac8La4Mg crystal.

The total moment is 0.09 Bohr magnetons per cell. The formation enthalpy at 0 K comes out at 42.4 kJ/mol of atoms. The calculation puts the density of states at the Fermi level at 26.36 states/eV/f.u.

a b c (Å): 11.8427 11.8427 14.2622
angles (deg): 90.00 90.00 120.00
Space group R-3m (No. 166, hexagonal axes)
Inequivalent atoms, fractional coordinates:
Ac 0.0000 0.0000 0.2418 (multiplicity 6)
Ac 0.0056 0.5028 0.7450 (multiplicity 18)
La 0.0000 0.0000 0.0000 (multiplicity 3)
La 0.0000 0.5000 0.0000 (multiplicity 9)
Mg 0.0000 0.0000 0.5000 (multiplicity 3)



[22]
VASP calculation (PBE-GGA) on a relaxed Ac3La2Mg2 crystal.

The total moment is 0.00 Bohr magnetons per cell. The formation enthalpy at 0 K comes out at 6.4 kJ/mol of atoms. The calculation puts the density of states at the Fermi level at 9.87 states/eV/f.u.

a b c (Å): 5.3459 25.6733 3.7753
angles (deg): 90.00 90.00 90.00
Space group Cmmm (No. 65)
Inequivalent atoms, fractional coordinates:
Ac 0.0000 0.0000 0.0000 (multiplicity 2)
Ac 0.0000 0.1430 0.0000 (multiplicity 4)
La 0.0000 0.2837 0.5000 (multiplicity 4)
Mg 0.0000 0.4292 0.5000 (multiplicity 4)